Computed, not measured: a relaxed TbCe2Sm crystal at the GGA-PBE level of DFT.

Cell and atoms, written as POSCAR:
```
TbCe2Sm
1.0
5.672 0.000 0.000
2.836 4.912 0.000
2.836 1.637 4.631
Sm Ce Tb
1 2 1
direct
0.500 0.500 0.500 Sm
0.250 0.250 0.250 Ce
0.750 0.750 0.750 Ce
0.000 0.000 0.000 Tb
```

## Properties
- Total DFT energy (no corrections): -5.044 eV/atom
- Energy of formation: 260 meV/atom
- SG: Fm-3m, No. 225
- Distance to the lowest polymorph of the same formula: 156.1 meV/atom
- Total magnetic moment: 2.5 μB/f.u.